Record 1
ScSn2Au2 (GGA-PBE, relaxed); calculated density = 10.02 g cm⁻³; distance to the lowest polymorph of the same formula = 0 meV/atom; calculated formation energy = -0.323 eV per atom
1.0
7.4653 0.0000 0.0000
0.0000 7.4653 0.0000
0.0000 0.0000 4.0238
Sn Au Sc
4 4 2
Cartesian
1.3245 5.0572 2.0119 Sn
6.1408 2.4081 2.0119 Sn
2.4081 1.3245 2.0119 Sn
5.0572 6.1408 2.0119 Sn
6.4803 4.7177 0.0000 Au
2.7477 6.4803 0.0000 Au
0.9850 2.7477 0.0000 Au
4.7177 0.9850 0.0000 Au
3.7327 3.7327 0.0000 Sc
0.0000 0.0000 0.0000 Sc

Record 2
Sc4SnAu (GGA-PBE, relaxed); calculated density = 5.39 g cm⁻³; calculated formation energy = -0.384 eV per atom
1.0
6.6942 -0.0006 0.0520
-0.0009 6.6943 0.0009
-0.0505 0.0004 6.8106
Sc Au Sn
8 2 2
Cartesian
4.9834 1.6730 5.0224 Sc
1.6364 1.6745 4.9963 Sc
1.6595 5.0211 1.8410 Sc
5.0066 1.6732 1.8660 Sc
5.0064 5.0197 1.8672 Sc
1.6363 5.0209 4.9974 Sc
1.6592 1.6733 1.8402 Sc
4.9836 5.0209 5.0232 Sc
-0.0257 3.3474 3.4057 Au
3.3219 -0.0001 3.4313 Au
0.0000 0.0000 0.0000 Sn
3.3467 3.3469 0.0264 Sn

Record 3
Sc2SnAu (GGA-PBE, relaxed); calculated density = 7.92 g cm⁻³; calculated formation energy = -0.666 eV per atom
1.0
-2.6896 -0.4767 -2.0708
1.9520 -1.8742 -2.1039
-1.7731 -5.9763 3.6786
Au Sn Sc
1 1 2
Cartesian
-0.3688 -1.1754 -2.0874 Au
-1.2553 -4.1636 -0.2481 Sn
-0.4142 -1.3961 0.8594 Sc
-1.3589 -4.5802 2.8192 Sc

Record 4
Sc2SnAu (GGA-PBE, relaxed); calculated density = 7.01 g cm⁻³; calculated formation energy = -0.122 eV per atom
1.0
4.4172 0.0000 0.0000
0.0000 4.4172 0.0000
2.2086 2.2086 9.8471
Sc Au Sn
4 2 2
Cartesian
5.5216 5.5166 7.3854 Sc
3.3129 3.3179 7.3854 Sc
3.3079 1.1043 2.4618 Sc
1.1093 3.3129 2.4618 Sc
0.0000 0.0000 0.0000 Au
4.4172 2.2086 4.9236 Au
2.2086 2.2086 0.0000 Sn
2.2086 4.4172 4.9236 Sn

Number 1: DOS at the Fermi energy 3.03 states/eV/f.u., magnetic moment 0.000 μB/f.u.. Number 2: DOS at the Fermi energy 6.02 states/eV/f.u., magnetic moment 0.000 μB/f.u.. Number 3: DOS at the Fermi energy 3.06 states/eV/f.u., magnetic moment 0.001 μB/f.u.. Number 4: DOS at the Fermi energy 4.14 states/eV/f.u., magnetic moment 0.364 μB/f.u..